Here is a relaxed TmPuAlPb crystal from the Alexandria database. Energies are from GGA-PBE. Values from VASP.

Computed properties:
Fermi-level density of states, states/eV/f.u.: 9.72
ΔH_f (0 K), eV per atom: -0.169
Energy, eV for the cell shown: -26.93

Cell and atoms, written as Quantum ESPRESSO input:
```
&SYSTEM
  ibrav = 0, nat = 4, ntyp = 4
/
ATOMIC_SPECIES
Pb 207.20 Pb.upf
Tm 168.93 Tm.upf
Al 26.98 Al.upf
Pu 244.00 Pu.upf
ATOMIC_POSITIONS crystal
Pb 0.2500 0.2500 0.2500
Tm 0.5000 0.5000 0.5000
Al 0.7500 0.7500 0.7500
Pu 0.0000 0.0000 0.0000
CELL_PARAMETERS angstrom
-1.5953 -4.8105 -1.3923
3.5139 -3.5877 -1.5511
1.0820 -4.1209 3.0777
```